# 1
Density functional theory data (GGA-PBE) for a relaxed structure of LiTl2InPb.

Geometry as POSCAR:
```
LiTl2InPb
1.0
5.2258 0.0000 0.0000
0.0000 5.2258 0.0000
0.0000 0.0000 5.2884
Li Tl In Pb
1 2 1 1
Direct
0.0000 0.0000 0.0000
0.0000 0.5000 0.0000
0.5000 0.0000 0.0000
0.5000 0.5000 0.5000
0.0000 0.0000 0.5000
```


# 2
Density functional theory data (GGA-PBE) for a relaxed structure of CuOsRu3.

Geometry as POSCAR:
```
CuOsRu3
1.0
4.6687 0.0000 0.0000
0.0000 4.6687 0.0000
0.0000 0.0000 4.6687
Cu Os Ru
1 1 3
Direct
0.0000 0.0000 0.0000
0.5000 0.5000 0.5000
0.0000 0.5000 0.5000
0.5000 0.0000 0.5000
0.5000 0.5000 0.0000
```

Summary:
Polymorph energy (0 for the lowest one) (kJ per mole of atoms): 0.0


# 3
Density functional theory data (GGA-PBE) for a relaxed structure of NaHf2Cr.

Geometry as POSCAR:
```
NaHf2Cr
1.0
0.0000 3.3876 3.3876
3.3876 0.0000 3.3876
3.3876 3.3876 0.0000
Na Hf Cr
1 2 1
Direct
0.0000 0.0000 0.0000
0.2500 0.2500 0.2500
0.7500 0.7500 0.7500
0.5000 0.5000 0.5000
```

Summary:
Polymorph energy (0 for the lowest one) (kJ per mole of atoms): 0.0


# 4
Density functional theory data (GGA-PBE) for a relaxed structure of Ta2AlCd.

Geometry as POSCAR:
```
Ta2AlCd
1.0
2.0444 -2.0486 0.0000
2.0444 2.0486 0.0000
0.0000 0.0000 8.5577
Ta Al Cd
2 1 1
Direct
0.0000 0.0000 0.2269
0.0000 0.0000 0.7731
0.5000 0.5000 0.0000
0.5000 0.5000 0.5000
```

Summary:
Polymorph energy (0 for the lowest one) (kJ per mole of atoms): 0.0


Energy of formation for the records above, in order: 0.089 1.852 0.632 0.023 eV per atom